Density functional theory data (PBE) for Nd12Sm7Cd after structural relaxation.

The formation energy is 0.1686 eV per atom. As for the density: 6.8 g/cm3. The calculation puts the energy above the most stable polymorph in this dataset at 0.0 meV/atom. For the total magnetization, the calculation gives 0.00 μB per atom. The value obtained for the density of states at the Fermi level is 37.203 states/eV per cell.

Unit cell a=8.9104 b=8.9104 c=8.9104 alpha=89.41 beta=89.41 gamma=89.41
Positions (direct):
Nd 0.1228 0.4640 0.3389
Nd 0.2119 0.7637 0.6174
Nd 0.2363 0.3826 0.7881
Nd 0.3389 0.1228 0.4640
Nd 0.3826 0.7881 0.2363
Nd 0.4640 0.3389 0.1228
Nd 0.5360 0.6611 0.8772
Nd 0.6174 0.2119 0.7637
Nd 0.6611 0.8772 0.5360
Nd 0.7637 0.6174 0.2119
Nd 0.7881 0.2363 0.3826
Nd 0.8772 0.5360 0.6611
Sm 0.0051 0.8924 0.3298
Sm 0.1076 0.6702 0.9949
Sm 0.3298 0.0051 0.8924
Sm 0.5000 0.5000 0.5000
Sm 0.6702 0.9949 0.1076
Sm 0.8924 0.3298 0.0051
Sm 0.9949 0.1076 0.6702
Cd 0.0000 0.0000 0.0000



Density functional theory data (PBE) for CdFeI5 after structural relaxation.

As for the density: 3.8 g/cm3. The energy relative to the elements, uncorrected comes out at -7.0 kcal/mol of atoms. For the total magnetization, the calculation gives 0.70 μB per atom.

Unit cell a=14.6322 b=8.3832 c=11.5588 alpha=90.00 beta=90.00 gamma=90.00
Positions (direct):
Cd 0.1904 0.2500 0.0993
Cd 0.3096 0.7500 0.5993
Cd 0.6904 0.2500 0.4007
Cd 0.8096 0.7500 0.9007
Fe 0.0693 0.7500 0.1267
Fe 0.4307 0.2500 0.6267
Fe 0.5693 0.7500 0.3733
Fe 0.9307 0.2500 0.8733
I 0.1089 0.2500 0.8724
I 0.1179 0.5036 0.2471
I 0.1179 0.9964 0.2471
I 0.1257 0.7500 0.5786
I 0.1343 0.7500 0.9289
I 0.3657 0.2500 0.4289
I 0.3743 0.2500 0.0786
I 0.3821 0.0036 0.7471
I 0.3821 0.4964 0.7471
I 0.3911 0.7500 0.3724
I 0.6089 0.2500 0.6276
I 0.6179 0.5036 0.2529
I 0.6179 0.9964 0.2529
I 0.6257 0.7500 0.9214
I 0.6343 0.7500 0.5711
I 0.8657 0.2500 0.0711
I 0.8743 0.2500 0.4214
I 0.8821 0.0036 0.7529
I 0.8821 0.4964 0.7529
I 0.8911 0.7500 0.1276



Density functional theory data (PBE) for MgAlIn after structural relaxation.

The formation energy is 0.0621 eV per atom. As for the density: 4.2 g/cm3. For the total magnetization, the calculation gives 0.00 μB per atom. The value obtained for the density of states at the Fermi level is 0.996 states/eV per cell.

Unit cell a=3.1519 b=3.1519 c=7.6075 alpha=90.00 beta=90.00 gamma=120.00
Positions (direct):
Mg 0.0000 0.0000 0.0000
Al 0.6667 0.3333 0.3158
In 0.3333 0.6667 0.6493



Density functional theory data (PBE) for Pu2ThAg after structural relaxation.

The formation energy is 0.1387 eV per atom. As for the density: 13.1 g/cm3. The calculation puts the energy above the most stable polymorph in this dataset at 0.0 meV/atom. For the total magnetization, the calculation gives 3.13 μB per atom. The value obtained for the density of states at the Fermi level is 11.594 states/eV per cell.

Unit cell a=4.4770 b=4.4770 c=5.2380 alpha=90.00 beta=90.00 gamma=90.00
Positions (direct):
Pu 0.0000 0.5000 0.0000
Pu 0.5000 0.0000 0.0000
Th 0.0000 0.0000 0.5000
Ag 0.5000 0.5000 0.5000



Density functional theory data (PBE) for SrLiGa2Cu after structural relaxation.

The formation energy is -0.2924 eV per atom. As for the density: 4.8 g/cm3. The calculation puts the energy above the most stable polymorph in this dataset at 0.0 meV/atom. For the total magnetization, the calculation gives 0.00 μB per atom. The value obtained for the density of states at the Fermi level is 3.889 states/eV per cell.

Unit cell a=4.5990 b=4.5990 c=9.6571 alpha=90.00 beta=90.00 gamma=90.00
Positions (direct):
Sr 0.0000 0.0000 0.0000
Sr 0.5000 0.5000 0.5000
Li 0.0000 0.5000 0.2500
Li 0.5000 0.0000 0.7500
Ga 0.0000 0.0000 0.3684
Ga 0.0000 0.0000 0.6316
Ga 0.5000 0.5000 0.1316
Ga 0.5000 0.5000 0.8684
Cu 0.0000 0.5000 0.7500
Cu 0.5000 0.0000 0.2500



Density functional theory data (PBE) for LaPt2Pb after structural relaxation.

The formation energy is -0.5910 eV per atom. As for the density: 13.4 g/cm3. For the total magnetization, the calculation gives 0.00 μB per atom. The value obtained for the density of states at the Fermi level is 4.611 states/eV per cell.

Unit cell a=3.9829 b=4.5964 c=9.9725 alpha=90.00 beta=90.00 gamma=90.00
Positions (direct):
La 0.0000 0.0000 0.0000
La 0.5000 0.5000 0.5000
Pt 0.0000 0.0000 0.5095
Pt 0.0000 0.5000 0.2241
Pt 0.5000 0.0000 0.7241
Pt 0.5000 0.5000 0.0095
Pb 0.0000 0.5000 0.7680
Pb 0.5000 0.0000 0.2680



Density functional theory data (PBE) for Be2FeRe after structural relaxation.

The formation energy is 0.1733 eV per atom. As for the density: 9.4 g/cm3. The calculation puts the energy above the most stable polymorph in this dataset at 294.7 meV/atom. For the total magnetization, the calculation gives 0.46 μB per atom. The value obtained for the density of states at the Fermi level is 11.074 states/eV per cell.

Unit cell a=2.6161 b=2.6161 c=23.2638 alpha=90.00 beta=90.00 gamma=120.00
Positions (direct):
Be 0.0000 0.0000 0.2462
Be 0.0000 0.0000 0.7538
Be 0.3333 0.6667 0.4205
Be 0.3333 0.6667 0.9128
Be 0.6667 0.3333 0.0872
Be 0.6667 0.3333 0.5795
Fe 0.0000 0.0000 0.5000
Fe 0.3333 0.6667 0.1667
Fe 0.6667 0.3333 0.8333
Re 0.0000 0.0000 0.0000
Re 0.3333 0.6667 0.6667
Re 0.6667 0.3333 0.3333



Density functional theory data (PBE) for Sn2OsWSe after structural relaxation.

As for the density: 8.9 g/cm3. The energy relative to the elements, uncorrected comes out at 42.8 kcal/mol of atoms. For the total magnetization, the calculation gives 0.69 μB per atom. The value obtained for the density of states at the Fermi level is 4.483 states/eV per cell.

Unit cell a=5.3475 b=5.3475 c=4.4823 alpha=90.00 beta=90.00 gamma=90.00
Positions (direct):
Sn 0.0000 0.5000 0.0000
Sn 0.5000 0.0000 0.0000
Os 0.0000 0.0000 0.5000
W 0.5000 0.5000 0.5000
Se 0.0000 0.0000 0.0000



Density functional theory data (PBE) for Sc3MnGa after structural relaxation.

The formation energy is 0.8480 eV per atom. As for the density: 3.4 g/cm3. The calculation puts the energy above the most stable polymorph in this dataset at 691.0 meV/atom. For the total magnetization, the calculation gives 0.21 μB per atom. The value obtained for the density of states at the Fermi level is 12.922 states/eV per cell.

Unit cell a=5.0018 b=5.0018 c=5.0018 alpha=90.00 beta=90.00 gamma=90.00
Positions (direct):
Sc 0.0000 0.0000 0.5000
Sc 0.0000 0.5000 0.0000
Sc 0.5000 0.0000 0.0000
Mn 0.5000 0.5000 0.5000
Ga 0.0000 0.0000 0.0000



Density functional theory data (PBE) for BaAg6Hg6 after structural relaxation.

The formation energy is -0.0958 eV per atom. As for the density: 11.2 g/cm3. For the total magnetization, the calculation gives 0.00 μB per atom. The value obtained for the density of states at the Fermi level is 4.133 states/eV per cell.

Unit cell a=7.7439 b=7.7439 c=7.7439 alpha=136.70 beta=98.79 gamma=96.86
Positions (direct):
Ba 0.0000 0.0000 0.0000
Ag 0.0000 0.0000 0.5000
Ag 0.0000 0.5000 0.0000
Ag 0.2339 0.5000 0.7339
Ag 0.5000 0.0000 0.0000
Ag 0.5000 0.5000 0.5000
Ag 0.7661 0.5000 0.2661
Hg 0.1920 0.6920 0.5000
Hg 0.3476 0.0000 0.3476
Hg 0.3496 0.3496 0.0000
Hg 0.6504 0.6504 0.0000
Hg 0.6524 0.0000 0.6524
Hg 0.8080 0.3080 0.5000



Density functional theory data (PBE) for Ca5W after structural relaxation.

The formation energy is 1.1814 eV per atom. As for the density: 2.7 g/cm3. The calculation puts the energy above the most stable polymorph in this dataset at 643.5 meV/atom. For the total magnetization, the calculation gives 0.82 μB per atom. The value obtained for the density of states at the Fermi level is 7.677 states/eV per cell.

Unit cell a=6.5723 b=6.5723 c=6.2402 alpha=90.00 beta=90.00 gamma=120.00
Positions (direct):
Ca 0.0000 0.5000 0.0000
Ca 0.3333 0.6667 0.5000
Ca 0.5000 0.0000 0.0000
Ca 0.5000 0.5000 0.0000
Ca 0.6667 0.3333 0.5000
W 0.0000 0.0000 0.5000



Density functional theory data (PBE) for K2HoNb5O15 after structural relaxation.

As for the density: 4.9 g/cm3. The energy relative to the elements, uncorrected comes out at -60.3 kcal/mol of atoms. For the total magnetization, the calculation gives 0.00 μB per atom. The value obtained for the density of states at the Fermi level is 0.000 states/eV per cell.

Unit cell a=12.7409 b=12.7409 c=3.9557 alpha=90.00 beta=90.00 gamma=90.00
Positions (direct):
K 0.1707 0.3293 0.0000
K 0.3293 0.8293 0.0000
K 0.6707 0.1707 0.0000
K 0.8293 0.6707 0.0000
Ho 0.0000 0.0000 0.0000
Ho 0.5000 0.5000 0.0000
Nb 0.0000 0.5000 0.5000
Nb 0.0763 0.7883 0.5000
Nb 0.2117 0.0763 0.5000
Nb 0.2883 0.5763 0.5000
Nb 0.4237 0.2883 0.5000
Nb 0.5000 0.0000 0.5000
Nb 0.5763 0.7117 0.5000
Nb 0.7117 0.4237 0.5000
Nb 0.7883 0.9237 0.5000
Nb 0.9237 0.2117 0.5000
O 0.0000 0.5000 0.0000
O 0.0008 0.3419 0.5000
O 0.0587 0.1310 0.5000
O 0.0774 0.8155 0.0000
O 0.1310 0.9413 0.5000
O 0.1581 0.4992 0.5000
O 0.1845 0.0774 0.0000
O 0.2166 0.7166 0.5000
O 0.2834 0.2166 0.5000
O 0.3155 0.5774 0.0000
O 0.3419 0.9992 0.5000
O 0.3690 0.4413 0.5000
O 0.4226 0.3155 0.0000
O 0.4413 0.6310 0.5000
O 0.4992 0.8419 0.5000
O 0.5000 0.0000 0.0000
O 0.5008 0.1581 0.5000
O 0.5587 0.3690 0.5000
O 0.5774 0.6845 0.0000
O 0.6310 0.5587 0.5000
O 0.6581 0.0008 0.5000
O 0.6845 0.4226 0.0000
O 0.7166 0.7834 0.5000
O 0.7834 0.2834 0.5000
O 0.8155 0.9226 0.0000
O 0.8419 0.5008 0.5000
O 0.8690 0.0587 0.5000
O 0.9226 0.1845 0.0000
O 0.9413 0.8690 0.5000
O 0.9992 0.6581 0.5000